No. 1
Compound: CaHgTe2
Source: the Alexandria database
Functional: PBE
Structure: relaxed

Unit cell a=7.5222 b=7.5222 c=4.4745 alpha=93.32 beta=93.32 gamma=32.96
With the nearest neighbours (Å) after each atom.
Fractional positions:
Ca  0.0000  0.0000  0.0000  6 Te 3.22-3.27
Hg  0.7436  0.7436  0.7852  3 Te 2.76-2.86
Te  0.3343  0.3343  0.1125  2 Hg 2.86
Te  0.5663  0.5663  0.5172  1 Hg 2.76

## Properties
Total moment, μB/atom: 0.00
Final energy, eV per cell: -11.6
Raw formation energy, eV per atom: -0.756

No. 2
Compound: CaHgTe2
Source: the Alexandria database
Functional: PBE
Structure: relaxed

Unit cell a=8.3486 b=8.3486 c=8.3486 alpha=130.83 beta=130.83 gamma=72.08
With the nearest neighbours (Å) after each atom.
Fractional positions:
Ca  0.0000  0.0000  0.0000  4 Te 3.08
Ca  0.7500  0.2500  0.5000  4 Te 3.08
Hg  0.2500  0.7500  0.5000  4 Te 2.89
Hg  0.5000  0.5000  0.0000  4 Te 2.89
Te  0.1480  0.6250  0.0230  2 Hg 2.89, 2 Ca 3.08
Te  0.3750  0.3980  0.5230  2 Hg 2.89, 2 Ca 3.08
Te  0.6020  0.1250  0.9770  2 Hg 2.89, 2 Ca 3.08
Te  0.8750  0.8520  0.4770  2 Hg 2.89, 2 Ca 3.08

## Properties
Total moment, μB/atom: 0.00
Final energy, eV per cell: -23.2
Raw formation energy, eV per atom: -0.751

No. 3
Compound: CaHgTe4
Source: the Alexandria database
Functional: PBE
Structure: relaxed

Unit cell a=6.4762 b=6.4762 c=6.4762 alpha=60.00 beta=60.00 gamma=60.00
With the nearest neighbours (Å) after each atom.
Fractional positions:
Ca  0.0000  0.0000  0.0000  12 Te 3.80, 4 Hg 3.97
Hg  0.7500  0.7500  0.7500  12 Te 3.80, 4 Ca 3.97
Te  0.3748  0.3748  0.3748  6 Te 3.23-3.24
Te  0.3748  0.3748  0.8757  6 Te 3.23-3.24
Te  0.3748  0.8757  0.3748  6 Te 3.23-3.24
Te  0.8757  0.3748  0.3748  6 Te 3.23-3.24

## Properties
Total moment, μB/atom: 0.00
Final energy, eV per cell: -16.0
Raw formation energy, eV per atom: -0.191

No. 4
Compound: CaZrHgTe2
Source: the Alexandria database
Functional: PBE
Structure: relaxed

Unit cell a=5.8130 b=5.8130 c=5.3766 alpha=90.00 beta=90.00 gamma=90.00
With the nearest neighbours (Å) after each atom.
Fractional positions:
Ca  0.0000  0.0000  0.0000  2 Hg 2.69, 4 Te 2.91
Zr  0.5000  0.5000  0.5000  8 Te 3.96, 4 Hg 4.11
Hg  0.0000  0.0000  0.5000  2 Ca 2.69
Te  0.0000  0.5000  0.0000  2 Ca 2.91
Te  0.5000  0.0000  0.0000  2 Ca 2.91

## Properties
Total moment, μB/atom: 0.40
Final energy, eV per cell: -15.8
Raw formation energy, eV per atom: 0.269
Excess energy over the best structure of this formula in the dataset, kJ/mol of formula units: 0

No. 5
Compound: CaZrHgTe2
Source: the Alexandria database
Functional: PBE
Structure: relaxed

Unit cell a=5.7149 b=5.7149 c=5.3206 alpha=90.00 beta=90.00 gamma=90.00
With the nearest neighbours (Å) after each atom.
Fractional positions:
Ca  0.0000  0.0000  0.0000  2 Hg 2.66
Zr  0.5000  0.5000  0.0000  8 Te 3.90, 4 Ca 4.04
Hg  0.0000  0.0000  0.5000  2 Ca 2.66, 4 Te 2.86
Te  0.0000  0.5000  0.5000  2 Hg 2.86
Te  0.5000  0.0000  0.5000  2 Hg 2.86

## Properties
Total moment, μB/atom: 0.47
Final energy, eV per cell: -14.5
Raw formation energy, eV per atom: 0.520
Excess energy over the best structure of this formula in the dataset, kJ/mol of formula units: 121

No. 6
Compound: CaThHg4
Source: the Alexandria database
Functional: PBE
Structure: relaxed

Unit cell a=6.1695 b=6.1695 c=6.1695 alpha=132.30 beta=106.23 gamma=92.72
With the nearest neighbours (Å) after each atom.
Fractional positions:
Ca  0.0000  0.0000  0.0000  12 Hg 3.29-3.51
Th  0.5000  0.0000  0.5000  12 Hg 3.34-3.46, 2 Ca 3.70
Hg  0.1029  0.3312  0.7716  3 Hg 2.87
Hg  0.4404  0.6688  0.7716  3 Hg 2.87
Hg  0.5596  0.3312  0.2284  3 Hg 2.87
Hg  0.8971  0.6688  0.2284  3 Hg 2.87

## Properties
Total moment, μB/atom: 0.00
Final energy, eV per cell: -12.6
Excess energy over the best structure of this formula in the dataset, kJ/mol of formula units: 0

No. 7
Compound: CaThHg3
Source: the Alexandria database
Functional: PBE
Structure: relaxed

Unit cell a=14.9775 b=14.9775 c=5.0416 alpha=90.00 beta=90.00 gamma=166.59
With the nearest neighbours (Å) after each atom.
Fractional positions:
Ca  0.2102  0.7899  0.7500  7 Hg 3.14-3.28, 2 Ca 3.50
Ca  0.7899  0.2102  0.2500  7 Hg 3.14-3.28, 2 Ca 3.50
Th  0.0750  0.9250  0.2500  12 Hg 3.37-3.57, 2 Th 3.50
Th  0.9250  0.0750  0.7500  12 Hg 3.37-3.57, 2 Th 3.50
Hg  0.3204  0.6796  0.7500  2 Hg 3.04, 5 Ca 3.20-3.28
Hg  0.3777  0.6223  0.2500  3 Hg 2.91-3.04, 2 Ca 3.14
Hg  0.4756  0.5244  0.2500  3 Hg 2.91
Hg  0.5244  0.4756  0.7500  3 Hg 2.91
Hg  0.6223  0.3777  0.7500  3 Hg 2.91-3.04, 2 Ca 3.14
Hg  0.6796  0.3204  0.2500  2 Hg 3.04, 5 Ca 3.20-3.28

## Properties
Total moment, μB/atom: 0.00
Final energy, eV per cell: -24.1

No. 8
Compound: CaThHg4
Source: the Alexandria database
Functional: PBE
Structure: relaxed

Unit cell a=5.7436 b=5.7436 c=5.6424 alpha=90.00 beta=90.00 gamma=121.47
With the nearest neighbours (Å) after each atom.
Fractional positions:
Ca  0.0000  0.0000  0.0000  10 Hg 3.27-3.32
Th  0.5000  0.5000  0.5000  10 Hg 3.28-3.31
Hg  0.1692  0.8308  0.5000  5 Hg 3.24-3.39, 3 Th 3.28-3.31, 2 Ca 3.29
Hg  0.3318  0.6682  0.0000  5 Hg 3.25-3.37, 3 Ca 3.27-3.32, 2 Th 3.29
Hg  0.6682  0.3318  0.0000  5 Hg 3.25-3.37, 3 Ca 3.27-3.32, 2 Th 3.29
Hg  0.8308  0.1692  0.5000  5 Hg 3.24-3.39, 3 Th 3.28-3.31, 2 Ca 3.29

## Properties
Total moment, μB/atom: 0.00
Final energy, eV per cell: -12.3
Excess energy over the best structure of this formula in the dataset, kJ/mol of formula units: 24